Record 1
Material: MnCdTe2N
Method: DFT, PBE
State: optimized geometry

The structure in extended XYZ format:
```
5
Lattice="5.496 0.000 0.000 0.000 5.496 0.000 0.000 0.000 3.497" Properties=species:S:1:pos:R:3 pbc="T T T"
Mn 0.000 0.000 0.000
Cd 2.748 2.748 1.749
Te 0.000 2.748 0.000
Te 2.748 0.000 0.000
N 0.000 0.000 1.749
```

Values from the calculation:
space group	P4/mmm
raw formation energy	124.8	meV per atom
ΔE to the lowest computed polymorph	0	meV/atom

Record 2
Material: K5SCl2O4
Method: DFT, PBE
State: optimized geometry

The structure in extended XYZ format:
```
12
Lattice="8.483 0.000 0.000 0.000 5.082 4.050 0.000 -5.082 4.050" Properties=species:S:1:pos:R:3 pbc="T T T"
K 0.000 0.000 0.000
K 2.359 -2.014 3.491
K 2.359 2.014 3.491
K 6.124 -2.014 3.491
K 6.124 2.014 3.491
S 4.242 0.000 0.907
Cl 0.000 -2.309 5.629
Cl 0.000 2.309 5.629
O 3.008 0.000 1.773
O 4.242 -3.846 4.116
O 4.242 3.846 4.116
O 5.475 0.000 1.773
```

Values from the calculation:
space group	Amm2
raw formation energy	-1624.1	meV per atom

Record 3
Material: Rb2PaGeN4
Method: DFT, PBE
State: optimized geometry

The structure in extended XYZ format:
```
16
Lattice="6.447 0.000 0.000 0.000 7.064 0.000 0.000 0.000 7.280" Properties=species:S:1:pos:R:3 pbc="T T T"
Rb 1.612 0.022 1.512
Rb 1.612 3.510 1.512
Rb 4.835 3.553 5.768
Rb 4.835 7.042 5.768
Pa 1.612 1.766 4.815
Pa 4.835 5.298 2.465
Ge 1.612 5.298 4.808
Ge 4.835 1.766 2.472
N 0.078 5.298 3.707
N 1.612 3.683 5.798
N 1.612 6.912 5.798
N 3.146 5.298 3.707
N 3.302 1.766 3.573
N 4.835 0.151 1.482
N 4.835 3.380 1.482
N 6.369 1.766 3.573
```

Values from the calculation:
space group	Pmmn
raw formation energy	-323.7	meV per atom

Record 4
Material: LiTcP
Method: DFT, PBE
State: optimized geometry

The structure in extended XYZ format:
```
6
Lattice="4.375 0.000 0.000 0.000 3.926 0.000 -2.167 0.000 5.512" Properties=species:S:1:pos:R:3 pbc="T T T"
Li 0.163 0.981 2.261
Li 2.045 2.944 3.251
Tc 1.111 2.944 0.246
Tc 1.097 0.981 5.265
P -1.089 0.981 4.464
P 3.297 2.944 1.048
```

Values from the calculation:
energy relative to the elements	-0.47	eV per atom
space group	P2_1/m
ΔE to the lowest computed polymorph	65	meV/atom

Record 5
Material: BaScTc2
Method: DFT, PBE
State: optimized geometry

The structure in extended XYZ format:
```
4
Lattice="0.000 3.440 3.440 3.440 0.000 3.440 3.440 3.440 0.000" Properties=species:S:1:pos:R:3 pbc="T T T"
Ba 0.000 0.000 0.000
Sc 5.160 5.160 5.160
Tc 1.720 1.720 1.720
Tc 3.440 3.440 3.440
```

Values from the calculation:
energy relative to the elements	0.88	eV per atom
space group	F-43m
ΔE to the lowest computed polymorph	643	meV/atom

Record 6
Material: NpSnH
Method: DFT, PBE
State: optimized geometry

The structure in extended XYZ format:
```
6
Lattice="4.130 0.000 0.000 0.000 4.335 0.000 -2.058 0.000 6.118" Properties=species:S:1:pos:R:3 pbc="T T T"
Np 0.003 1.084 2.056
Np 2.069 3.252 4.063
Sn 0.003 1.084 5.225
Sn 2.069 3.252 0.894
H 0.005 3.252 3.054
H 2.067 1.084 3.064
```

Values from the calculation:
space group	P2_1/m
ΔE to the lowest computed polymorph	0	meV/atom

Record 7
Material: Ta2SiCl
Method: DFT, PBE
State: optimized geometry

The structure in extended XYZ format:
```
4
Lattice="3.277 0.000 0.000 0.000 3.277 0.000 0.000 0.000 7.574" Properties=species:S:1:pos:R:3 pbc="T T T"
Ta 0.000 0.000 0.000
Ta 1.639 1.639 1.708
Si 1.639 1.639 6.491
Cl 0.000 0.000 3.467
```

Values from the calculation:
space group	P4mm
raw formation energy	6.2	meV per atom
ΔE to the lowest computed polymorph	98	meV/atom

Record 8
Material: Co2ReRuS
Method: DFT, PBE
State: optimized geometry

The structure in extended XYZ format:
```
5
Lattice="4.501 0.000 0.000 0.000 4.501 0.000 0.000 0.000 4.366" Properties=species:S:1:pos:R:3 pbc="T T T"
Co 0.000 2.251 0.000
Co 2.251 0.000 0.000
Re 0.000 0.000 0.000
Ru 2.251 2.251 2.183
S 0.000 0.000 2.183
```

Values from the calculation:
space group	P4/mmm
raw formation energy	1485.9	meV per atom

Record 9
Material: CaAgPd4
Method: DFT, PBE
State: optimized geometry

The structure in extended XYZ format:
```
6
Lattice="0.000 3.793 3.793 3.793 0.000 3.793 3.793 3.793 0.000" Properties=species:S:1:pos:R:3 pbc="T T T"
Ca 0.000 0.000 0.000
Ag 5.690 5.690 5.690
Pd 2.846 2.846 2.846
Pd 4.740 4.740 2.846
Pd 4.740 2.846 4.740
Pd 2.846 4.740 4.740
```

Values from the calculation:
energy relative to the elements	-0.36	eV per atom
space group	F-43m

Record 10
Material: Ac2NpGe3Pt4
Method: DFT, PBE
State: optimized geometry

The structure in extended XYZ format:
```
10
Lattice="4.464 0.000 0.000 0.000 4.464 0.000 0.000 0.000 11.078" Properties=species:S:1:pos:R:3 pbc="T T T"
Ac 0.000 2.232 2.556
Ac 2.232 0.000 8.522
Np 0.000 0.000 5.539
Ge 0.000 2.232 9.788
Ge 2.232 0.000 1.291
Ge 2.232 2.232 5.539
Pt 0.000 0.000 0.000
Pt 0.000 2.232 7.258
Pt 2.232 0.000 3.820
Pt 2.232 2.232 0.000
```

Values from the calculation:
energy relative to the elements	-0.83	eV per atom
space group	P-4m2

Record 11
Material: SrTaS2N
Method: DFT, PBE
State: optimized geometry

The structure in extended XYZ format:
```
5
Lattice="4.969 0.000 0.000 0.000 4.969 0.000 0.000 0.000 3.993" Properties=species:S:1:pos:R:3 pbc="T T T"
Sr 0.000 0.000 0.000
Ta 2.485 2.485 1.997
S 0.000 2.485 1.997
S 2.485 0.000 1.997
N 2.485 2.485 0.000
```

Values from the calculation:
space group	P4/mmm
raw formation energy	-1165.5	meV per atom
ΔE to the lowest computed polymorph	0	meV/atom

Record 12
Material: TbDy4Ga
Method: DFT, PBE
State: optimized geometry

The structure in extended XYZ format:
```
12
Lattice="4.382 -6.764 0.000 4.382 6.764 0.000 -1.976 0.000 5.925" Properties=species:S:1:pos:R:3 pbc="T T T"
Tb 2.900 5.462 4.444
Tb 3.888 -5.462 1.481
Dy 0.216 1.530 5.193
Dy 2.606 2.455 2.687
Dy 1.204 -1.530 2.231
Dy 5.170 2.455 0.275
Dy 1.618 -2.455 5.650
Dy 5.584 1.530 3.695
Dy 4.182 -2.455 3.238
Dy 6.572 -1.530 0.732
Ga 3.888 0.006 1.481
Ga 2.900 -0.006 4.444
```

Values from the calculation:
energy relative to the elements	-0.10	eV per atom
space group	C2/c

no.,mass density (g/cm3)
1,6.86
2,1.72
3,5.32
4,4.77
5,7.72
6,10.81
7,8.68
8,8.21
9,8.73
10,12.71
11,5.84
12,8.31